# Al2V4Ga3 | the Alexandria database | PBE | relaxed
# Energy above the lowest structure with this stoichiometry in meV per atom: 0
# DOS at the Fermi energy in states/eV per cell: 11.79
# DFT total energy in eV/atom: -6.0678
# M_tot in μB per atom: 0.000
# DFT formation energy in eV per atom: -0.17
data_Al2V4Ga3
_space_group_name_H-M_alt 'C 1 2/m 1'
_space_group_IT_number 12
_space_group_name_Hall '-C 2y'
_cell_length_a 9.2303
_cell_length_b 3.4527
_cell_length_c 8.5391
_cell_angle_alpha 90.00
_cell_angle_beta 108.69
_cell_angle_gamma 90.00
loop_
_atom_site_label
_atom_site_type_symbol
_atom_site_fract_x
_atom_site_fract_y
_atom_site_fract_z
Al1 Al 0.1648 0.0000 0.2214
V1 V 0.0039 0.5000 0.6721
V2 V 0.1645 0.0000 0.8825
Ga1 Ga 0.0000 0.5000 0.0000
Ga2 Ga 0.1615 0.0000 0.5579